1.
Nb2CI, optimized geometry, DFT PBE; energy relative to the lowest polymorph listed for this composition = 0 meV per atom; E = -7.19 eV/atom; magnetization = 0.00 μB/cell; formation energy from raw total energies = 0.54 eV per atom; space-group type = I-42d
1.0
-2.728 2.728 5.718
2.728 -2.728 5.718
2.728 2.728 -5.718
Nb C I
4 2 2
Cartesian
0.663 1.364 1.430
-1.364 2.066 4.289
-0.663 4.093 1.430
1.364 3.391 4.289
0.000 0.000 0.000
0.000 2.728 2.859
2.728 0.000 2.859
0.000 0.000 5.718

=====

2.
AcPuZn, optimized geometry, DFT PBE; energy relative to the lowest polymorph listed for this composition = 117 meV per atom; E = -6.43 eV/atom; magnetization = 6.27 μB/cell; formation energy from the elements = 0.144 eV/atom; space-group type = P3m1
1.0
5.210 0.000 0.000
-2.605 4.512 0.000
0.000 0.000 3.787
Ac Pu Zn
1 1 1
Cartesian
0.000 0.000 0.000
0.000 3.008 1.880
2.605 1.504 1.916

=====

3.
SeCl2, optimized geometry, DFT PBE; E = -2.51 eV/atom; magnetization = 0.00 μB/cell; formation energy from raw total energies = -0.12 eV per atom; space-group type = Fmmm
1.0
0.000 4.196 7.144
1.754 0.000 7.144
1.754 4.196 0.000
Se Cl
1 2
Cartesian
0.000 0.000 0.000
1.754 4.196 5.402
1.754 4.196 8.886

=====

4.
CaHoOs2O8, optimized geometry, DFT PBE; E = -7.49 eV/atom; magnetization = 3.01 μB/cell; formation energy from raw total energies = -1.76 eV per atom; space-group type = I-4
1.0
-2.622 2.622 5.635
2.622 -2.622 5.635
2.622 2.622 -5.635
Ca Ho Os O
1 1 2 8
Cartesian
0.000 0.000 0.000
0.000 2.622 2.817
2.622 0.000 2.817
0.000 0.000 5.635
1.688 -1.318 3.725
1.764 1.303 -0.962
1.304 0.934 1.910
1.318 -0.857 6.597
0.934 3.940 -1.910
0.857 1.318 4.672
1.303 3.479 0.962
1.318 1.688 7.545

=====

Q: What is the formula in the fourth record?
A: CaHoOs2O8